Record 1
DFT (PBE) results for crystalline LaMg2Tc at its relaxed geometry.

abc: 5.524 5.524 5.524
angles: 133.90 133.90 67.24
Fractional coordinates of all 4 atoms:
La 0.000 0.000 0.000
Mg 0.250 0.750 0.500
Mg 0.750 0.250 0.500
Tc 0.500 0.500 0.000

- Calculated density: 5.51 Mg/m³
- E above lowest polymorph: 0.18 eV/f.u.
- Spin magnetization: 0.0001 μB/atom
- ΔH_f (0 K): 16.3 kJ/mol of atoms

=====

Record 2
DFT (PBE) results for crystalline LaMg2Tc at its relaxed geometry.

abc: 3.486 3.486 7.621
angles: 90.00 90.00 90.00
Fractional coordinates of all 4 atoms:
La 0.000 0.000 0.000
Mg 0.000 0.000 0.594
Mg 0.500 0.500 0.364
Tc 0.500 0.500 0.769

- Calculated density: 5.12 Mg/m³
- E above lowest polymorph: 0.16 eV/f.u.
- Spin magnetization: 0.0000 μB/atom
- ΔH_f (0 K): 16.0 kJ/mol of atoms

=====

Record 3
DFT (PBE) results for crystalline LaMg2Tc at its relaxed geometry.

abc: 3.389 3.516 7.758
angles: 90.00 95.69 90.00
Fractional coordinates of all 4 atoms:
La 0.000 0.000 0.000
Mg 0.106 0.000 0.594
Mg 0.552 0.500 0.358
Tc 0.631 0.500 0.765

- Calculated density: 5.15 Mg/m³
- E above lowest polymorph: 0.09 eV/f.u.
- Spin magnetization: 0.0000 μB/atom
- ΔH_f (0 K): 14.3 kJ/mol of atoms

=====

Record 4
DFT (PBE) results for crystalline La2MgTc at its relaxed geometry.

abc: 6.748 6.748 6.748
angles: 102.57 102.57 124.38
Fractional coordinates of all 8 atoms:
La 0.057 0.125 0.432
La 0.375 0.943 0.068
La 0.693 0.625 0.568
La 0.875 0.307 0.932
Mg 0.250 0.750 0.500
Mg 0.500 0.500 0.000
Tc 0.000 0.000 0.000
Tc 0.750 0.250 0.500

- Calculated density: 5.92 Mg/m³
- Spin magnetization: 0.0000 μB/atom
- ΔH_f (0 K): 24.5 kJ/mol of atoms

=====

Record 5
DFT (PBE) results for crystalline La2MgTc2 at its relaxed geometry.

abc: 7.298 7.298 4.633
angles: 90.00 90.00 90.00
Fractional coordinates of all 10 atoms:
La 0.182 0.318 0.000
La 0.318 0.818 0.000
La 0.682 0.182 0.000
La 0.818 0.682 0.000
Mg 0.000 0.000 0.500
Mg 0.500 0.500 0.500
Tc 0.111 0.611 0.500
Tc 0.389 0.111 0.500
Tc 0.611 0.889 0.500
Tc 0.889 0.389 0.500

- Calculated density: 6.70 Mg/m³
- Spin magnetization: 0.0464 μB/atom
- ΔH_f (0 K): 13.3 kJ/mol of atoms

=====

Record 6
DFT (PBE) results for crystalline La2MgTc at its relaxed geometry.

abc: 5.859 5.859 5.859
angles: 139.65 122.57 72.52
Fractional coordinates of all 4 atoms:
La 0.198 0.198 0.000
La 0.802 0.802 0.000
Mg 0.500 0.000 0.500
Tc 0.000 0.500 0.500

- Calculated density: 6.18 Mg/m³
- Spin magnetization: 0.0000 μB/atom
- ΔH_f (0 K): 14.8 kJ/mol of atoms

=====

Record 7
DFT (PBE) results for crystalline La2MgTc at its relaxed geometry.

abc: 3.902 5.068 5.237
angles: 90.00 90.00 90.00
Fractional coordinates of all 4 atoms:
La 0.000 0.000 0.000
La 0.000 0.500 0.472
Mg 0.500 0.500 0.942
Tc 0.500 0.000 0.561

- Calculated density: 6.41 Mg/m³
- Spin magnetization: 0.0000 μB/atom
- ΔH_f (0 K): 16.1 kJ/mol of atoms

=====

Record 8
DFT (PBE) results for crystalline LaMgTc at its relaxed geometry.

abc: 3.380 3.380 7.200
angles: 90.00 90.00 120.00
Fractional coordinates of all 3 atoms:
La 0.000 0.000 0.000
Mg 0.667 0.333 0.442
Tc 0.333 0.667 0.717

- Calculated density: 6.09 Mg/m³
- E above lowest polymorph: 1.14 eV/f.u.
- Spin magnetization: 0.0000 μB/atom
- ΔH_f (0 K): 39.1 kJ/mol of atoms

=====

Record 9
DFT (PBE) results for crystalline La2MgTc at its relaxed geometry.

abc: 5.116 5.116 5.116
angles: 60.00 60.00 60.00
Fractional coordinates of all 4 atoms:
La 0.000 0.000 0.000
La 0.250 0.250 0.250
Mg 0.750 0.750 0.750
Tc 0.500 0.500 0.500

- Calculated density: 7.02 Mg/m³
- Spin magnetization: 0.0000 μB/atom
- ΔH_f (0 K): 23.9 kJ/mol of atoms

=====

Record 10
DFT (PBE) results for crystalline LaMg2Tc at its relaxed geometry.

abc: 11.392 11.392 11.392
angles: 159.26 159.26 29.49
Fractional coordinates of all 8 atoms:
La 0.000 0.000 0.000
La 0.750 0.250 0.500
Mg 0.158 0.625 0.033
Mg 0.375 0.408 0.533
Mg 0.592 0.125 0.967
Mg 0.875 0.842 0.467
Tc 0.250 0.750 0.500
Tc 0.500 0.500 0.000

- Calculated density: 5.12 Mg/m³
- E above lowest polymorph: 1.35 eV/f.u.
- Spin magnetization: 0.0000 μB/atom
- ΔH_f (0 K): 44.6 kJ/mol of atoms